# PrDyPt | Alexandria via LeMat-Bulk | PBE | optimized geometry
# Energy above the most stable polymorph in this dataset, eV per atom: 0.0732
# DFT total energy, eV/atom: -5.901
# Calculated formation energy, eV/atom: -0.7604
# DOS at the Fermi energy, states/eV/cell: 2.443
# V, Å³ per atom: 28.95
data_PrDyPt
_chemical_formula_sum 'Pr1 Dy1 Pt1'
_cell_length_a 4.9709
_cell_length_b 4.9709
_cell_length_c 4.9709
_cell_angle_alpha 60.00
_cell_angle_beta 60.00
_cell_angle_gamma 60.00
_space_group_name_H-M_alt 'P 1'
_space_group_IT_number 1
loop_
_space_group_symop_operation_xyz
'x,y,z'
loop_
_atom_site_label
_atom_site_fract_x
_atom_site_fract_y
_atom_site_fract_z
Pr1 0.0000 0.0000 0.0000
Dy1 0.5000 0.5000 0.5000
Pt1 0.2500 0.2500 0.2500

# PrDyPt10 | Alexandria via LeMat-Bulk | PBE | optimized geometry
# DFT total energy, eV/atom: -6.519
# Calculated formation energy, eV/atom: -0.7029
# DOS at the Fermi energy, states/eV/cell: 9.354
# V, Å³ per atom: 18.69
data_PrDyPt10
_chemical_formula_sum 'Pr1 Dy1 Pt10'
_cell_length_a 4.4498
_cell_length_b 5.4077
_cell_length_c 9.3191
_cell_angle_alpha 90.00
_cell_angle_beta 90.00
_cell_angle_gamma 90.00
_space_group_name_H-M_alt 'P 1'
_space_group_IT_number 1
loop_
_space_group_symop_operation_xyz
'x,y,z'
loop_
_atom_site_label
_atom_site_fract_x
_atom_site_fract_y
_atom_site_fract_z
Pr1 0.0000 0.0000 0.0000
Dy1 0.0000 0.5000 0.5000
Pt1 0.0000 0.0000 0.3368
Pt2 0.0000 0.0000 0.6632
Pt3 0.0000 0.5000 0.1714
Pt4 0.0000 0.5000 0.8286
Pt5 0.5000 0.0000 0.5000
Pt6 0.5000 0.2511 0.2522
Pt7 0.5000 0.2511 0.7478
Pt8 0.5000 0.5000 0.0000
Pt9 0.5000 0.7489 0.2522
Pt10 0.5000 0.7489 0.7478

# PrDyPt | Alexandria via LeMat-Bulk | PBE | optimized geometry
# Energy above the most stable polymorph in this dataset, eV per atom: 0.1029
# DFT total energy, eV/atom: -5.871
# Calculated formation energy, eV/atom: -0.7307
# DOS at the Fermi energy, states/eV/cell: 12.285
# V, Å³ per atom: 29.93
data_PrDyPt
_chemical_formula_sum 'Pr4 Dy4 Pt4'
_cell_length_a 7.0714
_cell_length_b 5.9436
_cell_length_c 10.7012
_cell_angle_alpha 90.00
_cell_angle_beta 127.01
_cell_angle_gamma 90.00
_space_group_name_H-M_alt 'P 1'
_space_group_IT_number 1
loop_
_space_group_symop_operation_xyz
'x,y,z'
loop_
_atom_site_label
_atom_site_fract_x
_atom_site_fract_y
_atom_site_fract_z
Pr1 0.1897 0.1445 0.3821
Pr2 0.1897 0.3555 0.8821
Pr3 0.8103 0.6445 0.1179
Pr4 0.8103 0.8555 0.6179
Dy1 0.3316 0.6236 0.6333
Dy2 0.3316 0.8764 0.1333
Dy3 0.6684 0.1236 0.8667
Dy4 0.6684 0.3764 0.3667
Pt1 0.3269 0.6574 0.3646
Pt2 0.3269 0.8426 0.8646
Pt3 0.6731 0.1574 0.1354
Pt4 0.6731 0.3426 0.6354

Among the records above, which one has the lowest V? PrDyPt10